[1]
## KMnPt2 (GGA-PBE)

Data for a geometry-optimized KMnPt2 structure.

The structure belongs to space group Immm (No. 71); the cell edges are 2.8822, 5.4167 and 10.1148 Å and the angles 90.00°, 90.00° and 90.00°. The distinct sites, in fractional coordinates, are K at (0.0000, 0.0000, 0.0000), Mn at (0.0000, 0.0000, 0.5000) and Pt at (0.0000, 0.5000, 0.2056).

The calculation puts the formation energy at 240 meV per atom. The value obtained for the density of states at the Fermi level is 2.155 states/eV/f.u.

[2]
## KMnPt (GGA-PBE)

Data for a geometry-optimized KMnPt structure.

The structure belongs to space group P1 (No. 1); the cell edges are 2.7521, 4.1281 and 12.5936 Å and the angles 99.36°, 95.79° and 90.00°. The distinct sites, in fractional coordinates, are K at (0.0000, 0.0000, 0.0000), K at (0.3028, 0.3253, 0.6498), Mn at (0.1125, 0.1234, 0.2475), Mn at (0.1861, 0.2030, 0.4024), Pt at (0.5899, 0.5987, 0.1978) and Pt at (0.7096, 0.7276, 0.4520).

The calculation puts the formation energy at 245 meV per atom. As for the relative energy among the computed polymorphs: 250 meV per atom. The value obtained for the density of states at the Fermi level is 2.463 states/eV/f.u.

[3]
## KMnPt (GGA-PBE)

Data for a geometry-optimized KMnPt structure.

The structure belongs to space group P1 (No. 1); the cell edges are 2.9152, 5.5536 and 8.5422 Å and the angles 108.93°, 98.56° and 91.87°. The distinct sites, in fractional coordinates, are K at (0.0000, 0.0000, 0.0000), K at (0.3063, 0.6344, 0.2720), Mn at (0.3537, 0.5371, 0.6470), Mn at (0.8872, 0.3844, 0.7552), Pt at (0.3203, 0.9766, 0.6439) and Pt at (0.7707, 0.2129, 0.4187).

The calculation puts the formation energy at 379 meV per atom. As for the relative energy among the computed polymorphs: 384 meV per atom. The value obtained for the density of states at the Fermi level is 1.954 states/eV/f.u.

[4]
## KMnPt2 (GGA-PBE)

Data for a geometry-optimized KMnPt2 structure.

The structure belongs to space group R-3m (No. 166, hexagonal axes); the cell edges are 2.9491, 2.9491 and 29.1028 Å and the angles 90.00°, 90.00° and 120.00°. The distinct sites, in fractional coordinates, are K at (0.0000, 0.0000, 0.0000), Mn at (0.0000, 0.0000, 0.5000) and Pt at (0.0000, 0.0000, 0.2374).

The calculation puts the formation energy at 76 meV per atom. The value obtained for the density of states at the Fermi level is 2.682 states/eV/f.u.

[5]
## KMnPt (GGA-PBE)

Data for a geometry-optimized KMnPt structure.

The structure belongs to space group P4/nmm (No. 129, origin choice 2); the cell edges are 4.3643, 4.3643 and 8.0035 Å and the angles 90.00°, 90.00° and 90.00°. The distinct sites, in fractional coordinates, are K at (0.2500, 0.2500, 0.1471), Mn at (0.2500, 0.7500, 0.5000) and Pt at (0.2500, 0.2500, 0.6731).

The calculation puts the formation energy at 0 meV per atom. As for the relative energy among the computed polymorphs: 4 meV per atom. The value obtained for the density of states at the Fermi level is 1.060 states/eV/f.u.

[6]
## KMnPt (GGA-PBE)

Data for a geometry-optimized KMnPt structure.

The structure belongs to space group P-6m2 (No. 187); the cell edges are 4.9552, 4.9552 and 2.9824 Å and the angles 90.00°, 90.00° and 120.00°. The distinct sites, in fractional coordinates, are K at (0.0000, 0.0000, 0.0000), Mn at (0.6667, 0.3333, 0.5000) and Pt at (0.3333, 0.6667, 0.5000).

The calculation puts the formation energy at 496 meV per atom. As for the relative energy among the computed polymorphs: 501 meV per atom. The value obtained for the density of states at the Fermi level is 1.489 states/eV/f.u.

[7]
## KMnPt (GGA-PBE)

Data for a geometry-optimized KMnPt structure.

The structure belongs to space group P-1 (No. 2); the cell edges are 4.7128, 5.2273 and 6.0204 Å and the angles 89.98°, 89.66° and 89.43°. The distinct sites, in fractional coordinates, are K at (0.0000, 0.0000, 0.0000), K at (0.5000, 0.5000, 0.0000), Mn at (0.2414, 0.3501, 0.5004) and Pt at (0.2579, 0.8445, 0.4995).

The calculation puts the formation energy at 18 meV per atom. As for the relative energy among the computed polymorphs: 22 meV per atom. The value obtained for the density of states at the Fermi level is 1.790 states/eV/f.u.

[8]
## KMnPt (GGA-PBE)

Data for a geometry-optimized KMnPt structure.

The structure belongs to space group Imma (No. 74); the cell edges are 5.7039, 5.7600 and 7.6913 Å and the angles 90.00°, 90.00° and 90.00°. The distinct sites, in fractional coordinates, are K at (0.0000, 0.2500, 0.1310), Mn at (0.2500, 0.2500, 0.7500) and Pt at (0.0000, 0.0000, 0.5000).

The calculation puts the formation energy at 161 meV per atom. As for the relative energy among the computed polymorphs: 165 meV per atom. The value obtained for the density of states at the Fermi level is 2.089 states/eV/f.u.